[1]
Mg5Sc4 PBE relaxed; crystal system = hexagonal; SG = P6_3/mcm, No. 193; energy of formation = 0.019 eV/atom
1.0
8.8761 0.0000 0.0000
-4.4380 7.6869 0.0000
0.0000 0.0000 6.1667
Mg Sc
10 8
direct
0.0000 0.3340 0.2500 Mg
0.0000 0.6660 0.7500 Mg
0.3333 0.6667 0.0000 Mg
0.3333 0.6667 0.5000 Mg
0.3340 0.0000 0.2500 Mg
0.3340 0.3340 0.7500 Mg
0.6660 0.0000 0.7500 Mg
0.6660 0.6660 0.2500 Mg
0.6667 0.3333 0.0000 Mg
0.6667 0.3333 0.5000 Mg
0.0000 0.0000 0.0000 Sc
0.0000 0.0000 0.5000 Sc
0.0000 0.3300 0.7500 Sc
0.0000 0.6700 0.2500 Sc
0.3300 0.0000 0.7500 Sc
0.3300 0.3300 0.2500 Sc
0.6700 0.0000 0.2500 Sc
0.6700 0.6700 0.7500 Sc


[2]
BaLi2AsPd PBE relaxed; crystal system = tetragonal; SG = P4/mmm, No. 123; energy of formation = -0.502 eV/atom
1.0
4.9358 0.0000 0.0000
0.0000 4.9358 0.0000
0.0000 0.0000 4.8845
Ba Li As Pd
1 2 1 1
direct
0.0000 0.0000 0.0000 Ba
0.0000 0.5000 0.5000 Li
0.5000 0.0000 0.5000 Li
0.5000 0.5000 0.0000 As
0.5000 0.5000 0.5000 Pd


[3]
TbCe5Tl6 PBE relaxed; crystal system = orthorhombic; SG = Immm, No. 71; energy of formation = -0.258 eV/atom
1.0
-2.4774 4.6108 7.4439
2.4774 -4.6108 7.4439
2.4774 4.6108 -7.4439
Tb Ce Tl
1 5 6
direct
0.0000 0.0000 0.0000 Tb
0.1750 0.6750 0.5000 Ce
0.3354 0.3354 0.0000 Ce
0.5000 0.0000 0.5000 Ce
0.6646 0.6646 0.0000 Ce
0.8250 0.3250 0.5000 Ce
0.0826 0.8362 0.2464 Tl
0.2439 0.5000 0.7439 Tl
0.4102 0.1638 0.2464 Tl
0.5898 0.8362 0.7536 Tl
0.7561 0.5000 0.2561 Tl
0.9174 0.1638 0.7536 Tl